i:
The following is a PBE calculation of a relaxed structure of CeMg2Cd2, from Alexandria via LeMat-Bulk.

* ρ: 5.913 g/cm³

Lattice parameters (Å, degrees): 8.7803 8.7803 3.0130 90.00 90.00 90.00
With the nearest neighbours (Å) after each atom.
Space group P4/mbm (No. 127)
Asymmetric unit:
Ce  0.0000  0.0000  0.0000 [2 per cell]  2 Ce 3.01
Mg  0.1253  0.3747  0.0000 [4 per cell]  6 Cd 2.94-3.04, 3 Mg 3.01-3.11
Cd  0.1715  0.6715  0.5000 [4 per cell]  6 Mg 2.94-3.04, 2 Cd 3.01



ii:
The following is a PBE calculation of a relaxed structure of CeMg2Cd2, from Alexandria via LeMat-Bulk.

* ρ: 4.066 g/cm³

Lattice parameters (Å, degrees): 3.9136 3.9136 22.0550 90.00 90.00 90.00
With the nearest neighbours (Å) after each atom.
Space group I4/mmm (No. 139)
Asymmetric unit:
Ce  0.0000  0.0000  0.0000 [2 per cell]  2 Cd 3.18
Mg  0.0000  0.5000  0.2500 [4 per cell]  4 Mg 2.77, 4 Cd 3.05
Cd  0.0000  0.0000  0.1440 [4 per cell]  4 Mg 3.05, 1 Ce 3.18



Stability verdict: i, ahead by 0.683 eV/atom



i:
The following is a PBE calculation of a relaxed structure of Ce2MgCd3, from Alexandria via LeMat-Bulk.

* ρ: 6.685 g/cm³

Lattice parameters (Å, degrees): 3.2980 5.2443 18.4338 90.00 90.00 90.00
With the nearest neighbours (Å) after each atom.
Space group Imm2 (No. 44)
Asymmetric unit:
Ce  0.0000  0.0000  0.0000 [2 per cell]  6 Cd 3.29-3.40, 2 Ce 3.30, 4 Mg 3.55
Ce  0.0000  0.5000  0.2565 [2 per cell]  8 Cd 3.30-3.56, 2 Ce 3.30, 2 Mg 3.42
Mg  0.0000  0.0000  0.5937 [2 per cell]  3 Cd 2.83-2.90
Cd  0.0000  0.0000  0.4401 [2 per cell]  2 Cd 2.79, 1 Mg 2.83
Cd  0.0000  0.5000  0.6614 [2 per cell]  1 Cd 2.88, 2 Mg 2.90
Cd  0.0000  0.5000  0.8179 [2 per cell]  3 Cd 2.79-2.88



ii:
The following is a PBE calculation of a relaxed structure of Ce2MgCd3, from Alexandria via LeMat-Bulk.

* ρ: 7.131 g/cm³

Lattice parameters (Å, degrees): 6.2445 6.2445 8.8512 90.00 90.00 120.00
With the nearest neighbours (Å) after each atom.
Space group P6_3/mmc (No. 194)
Asymmetric unit:
Ce  0.3333  0.6667  0.0908 [4 per cell]  1 Ce 2.82
Mg  0.0000  0.0000  0.0000 [2 per cell]  6 Cd 2.91
Cd  0.1744  0.3488  0.7500 [6 per cell]  2 Mg 2.91, 2 Cd 2.98



Stability verdict: ii, ahead by 0.126 eV/atom



i:
The following is a PBE calculation of a relaxed structure of CeMg3Cd2, from Alexandria via LeMat-Bulk.

* ρ: 4.931 g/cm³

Lattice parameters (Å, degrees): 16.9791 4.8307 7.7439 90.00 111.78 90.00
With the nearest neighbours (Å) after each atom.
Space group C2/m (No. 12)
Asymmetric unit:
Ce  0.1190  0.0000  0.1865 [4 per cell]  7 Cd 3.33-3.56, 7 Mg 3.43-3.68
Mg  0.0684  0.0000  0.6999 [4 per cell]  3 Cd 2.88-2.94, 3 Mg 3.11-3.18
Mg  0.1254  0.5000  0.5068 [4 per cell]  4 Cd 2.87-3.11, 3 Mg 3.03-3.18
Mg  0.1969  0.5000  0.9280 [4 per cell]  2 Cd 2.83-2.95, 3 Mg 2.97-3.03
Cd  0.0191  0.5000  0.8355 [4 per cell]  4 Mg 2.83-2.88, 1 Cd 2.85
Cd  0.2345  0.0000  0.6619 [4 per cell]  5 Mg 2.94-3.11



ii:
The following is a PBE calculation of a relaxed structure of CeMg3Cd2, from Alexandria via LeMat-Bulk.

* ρ: 4.982 g/cm³

Lattice parameters (Å, degrees): 4.9664 4.9664 13.6634 90.00 90.00 120.00
With the nearest neighbours (Å) after each atom.
Space group P6_3/mmc (No. 194)
Asymmetric unit:
Ce  0.0000  0.0000  0.2500 [2 per cell]  6 Cd 3.30, 8 Mg 3.42-3.49
Mg  0.0000  0.0000  0.0000 [2 per cell]  6 Mg 3.20, 6 Cd 3.37, 2 Ce 3.42
Mg  0.3333  0.6667  0.1039 [4 per cell]  4 Cd 2.89-3.19, 3 Mg 3.20
Cd  0.3333  0.6667  0.6299 [4 per cell]  4 Mg 2.89-3.19



Stability verdict: ii, ahead by 0.029 eV/atom



i:
The following is a PBE calculation of a relaxed structure of Ce2Mg3Cd4, from Alexandria via LeMat-Bulk.

* ρ: 5.946 g/cm³

Lattice parameters (Å, degrees): 8.9691 5.1160 9.7788 90.00 92.16 90.00
With the nearest neighbours (Å) after each atom.
Space group C2/m (No. 12)
Asymmetric unit:
Ce  0.1742  0.0000  0.2154 [4 per cell]  7 Cd 3.13-3.28
Mg  0.0000  0.5000  0.0000 [2 per cell]  8 Cd 3.14-3.43
Mg  0.1571  0.0000  0.5755 [4 per cell]  4 Cd 3.01-3.12, 1 Mg 3.13
Cd  0.0141  0.5000  0.3507 [4 per cell]  1 Cd 2.94, 3 Mg 3.01-3.08, 3 Ce 3.24-3.28
Cd  0.1626  0.0000  0.8951 [4 per cell]  4 Mg 3.12-3.16, 4 Ce 3.13-3.17



ii:
The following is a PBE calculation of a relaxed structure of Ce2Mg3Cd4, from Alexandria via LeMat-Bulk.

* ρ: 5.918 g/cm³

Lattice parameters (Å, degrees): 6.1788 17.1808 8.4880 90.00 90.00 90.00
With the nearest neighbours (Å) after each atom.
Space group Cmce (No. 64)
Asymmetric unit:
Ce  0.0000  0.0963  0.1073 [8 per cell]  7 Cd 3.43-3.44, 5 Mg 3.48-3.72, 1 Ce 3.78
Mg  0.0000  0.0000  0.5000 [4 per cell]  6 Cd 2.87-2.96
Mg  0.2500  0.2367  0.7500 [8 per cell]  5 Cd 2.90-2.97, 2 Mg 3.09
Cd  0.0000  0.1719  0.4819 [8 per cell]  5 Mg 2.95-2.97, 2 Cd 3.28
Cd  0.2500  0.0678  0.7500 [8 per cell]  3 Mg 2.87-2.90, 2 Cd 3.09



Stability verdict: i, ahead by 0.038 eV/atom